Density functional theory data (PBE-GGA) for an optimized crystal structure of VCdFe4.

It has space group F-43m (No. 216), with a = 6.821 Å, b = 6.821 Å, c = 6.821 Å, α = 90.00°, β = 90.00° and γ = 90.00°. Symmetry generates all atoms from V at (0.000, 0.000, 0.000), Cd at (0.250, 0.250, 0.750) and Fe at (0.125, 0.125, 0.375).

Its formation energy is 0.0679 eV per atom. The value obtained for the density of states at the Fermi level is 0.408 states/eV/atom.